Below is CrP2Rh after structural relaxation, with properties calculated at the PBE level.

```
CrP2Rh
1.0
-1.6372 -4.7786 -0.9414
3.0760 -4.1158 -0.0194
-1.1367 4.1241 2.8463
Cr P Rh
1 2 1
direct
0.7500 0.2500 0.5000
0.0000 0.0000 0.0000
0.2500 0.7500 0.5000
0.5000 0.5000 0.0000
```

ΔE_f	-0.10	eV per atom
spin magnetization	2.1	μB/f.u.
space-group type	I-4m2


Below is GaNi2P2 after structural relaxation, with properties calculated at the PBE level.

```
GaNi2P2
1.0
-2.9178 -0.5125 -1.9138
1.2781 -3.0900 -1.1212
-3.2034 -4.3537 2.8001
Ni Ga P
2 1 2
direct
0.3851 0.3851 0.2299
0.6149 0.6149 0.7701
0.0000 0.0000 0.0000
0.7500 0.2500 0.5000
0.2500 0.7500 0.5000
```

ΔE_f	-0.04	eV per atom
spin magnetization	0.0	μB/f.u.
space-group type	I4/mmm


Below is PW2 after structural relaxation, with properties calculated at the PBE level.

```
PW2
1.0
1.5165 -6.6322 0.0000
1.5165 6.6322 0.0000
0.0000 0.0000 4.3646
P W
2 4
direct
0.0809 0.9191 0.2500
0.9191 0.0809 0.7500
0.4213 0.5787 0.2500
0.5787 0.4213 0.7500
0.7311 0.2689 0.2500
0.2689 0.7311 0.7500
```

ΔE_f	0.09	eV per atom
spin magnetization	0.0	μB/f.u.
space-group type	Cmcm


Below is AlP2I after structural relaxation, with properties calculated at the PBE level.

```
AlP2I
1.0
-3.3886 0.8694 3.2913
-4.0664 2.2199 -1.2681
-4.1355 -2.4407 -0.1081
I P Al
1 2 1
direct
0.5000 0.5000 0.5000
0.2500 0.2500 0.2500
0.7500 0.7500 0.7500
0.0000 0.0000 0.0000
```

spin magnetization	0.0	μB/f.u.
space-group type	Fm-3m
total energy	-3.179	eV/atom


Below is K2ScSnS4 after structural relaxation, with properties calculated at the PBE level.

```
K2ScSnS4
1.0
-1.6465 -5.3037 6.0268
3.7638 -5.9669 -4.1704
4.0030 6.7743 1.6832
K Sc Sn S
4 2 2 8
direct
0.5000 0.0000 0.0000
0.5000 0.0000 0.5000
0.0000 0.0000 0.5000
0.5000 0.5000 0.0000
0.0000 0.5000 0.0000
0.0000 0.5000 0.5000
0.5000 0.5000 0.5000
0.0000 0.0000 0.0000
0.1967 0.7233 0.9600
0.7767 0.3033 0.5400
0.2233 0.6967 0.4600
0.8033 0.2767 0.0400
0.7724 0.7276 0.9748
0.7724 0.7276 0.5252
0.2276 0.2725 0.4748
0.2275 0.2724 0.0252
```

spin magnetization	0.0	μB/f.u.
space-group type	Imma
total energy	-4.826	eV/atom


Below is Ce2Pr5Sb4 after structural relaxation, with properties calculated at the PBE level.

```
Ce2Pr5Sb4
1.0
4.6477 0.0000 0.0000
0.0000 7.8054 -0.8157
-2.3238 -4.4361 11.5407
Ce Pr Sb
2 5 4
direct
0.7439 0.5912 0.4879
0.2561 0.4088 0.5121
0.1635 0.8210 0.3270
0.8365 0.1790 0.6730
0.1222 0.2707 0.2445
0.5000 0.0000 0.0000
0.8778 0.7293 0.7555
0.6063 0.5112 0.2125
0.0375 0.8036 0.0750
0.3937 0.4888 0.7875
0.9625 0.1964 0.9250
```

spin magnetization	2.3	μB/f.u.
space-group type	C2/m
total energy	-5.006	eV/atom


Below is AcHg3Pb3 after structural relaxation, with properties calculated at the PBE level.

```
AcHg3Pb3
1.0
7.8928 0.0000 0.0000
3.9464 6.8354 0.0000
3.9464 2.2785 8.0388
Ac Hg Pb
2 6 6
direct
0.3324 0.3324 0.0029
0.6676 0.6676 0.9971
0.1812 0.7221 0.1731
0.9235 0.1812 0.1731
0.7221 0.9235 0.1731
0.2779 0.0765 0.8269
0.0765 0.8188 0.8269
0.8188 0.2779 0.8269
0.5723 0.7280 0.6195
0.7280 0.0802 0.6195
0.0802 0.5723 0.6195
0.9198 0.4277 0.3805
0.2720 0.9198 0.3805
0.4277 0.2720 0.3805
```

ΔE_f	-0.16	eV per atom
spin magnetization	0.0	μB/f.u.
space-group type	R-3


Below is SrSbPb after structural relaxation, with properties calculated at the PBE level.

```
SrSbPb
1.0
5.2890 0.0000 0.0000
-2.6445 4.5805 0.0000
0.0000 0.0000 4.3774
Pb Sb Sr
1 1 1
direct
0.0000 0.0000 0.1666
0.6667 0.3333 0.1669
0.3333 0.6667 0.6665
```

spin magnetization	0.0	μB/f.u.
space-group type	P-6m2
total energy	-3.645	eV/atom